Record 1
# Ac8Sn5N

A geometry-optimized Ac8Sn5N structure (PBE, Alexandria via LeMat-Bulk).

- D(E_F) (states/eV per atom) = 0.53
- formation energy from raw total energies (meV per atom) = -603
- crystal system = tetragonal

Lattice parameters (Å, degrees): 9.849 9.849 10.507 90.00 90.00 90.00
Space group I-4 (No. 82)
Inequivalent atoms, fractional coordinates:
Ac1 0.053 0.235 0.209 (multiplicity 8)
Ac2 0.081 0.313 0.582 (multiplicity 8)
Sn1 0.000 0.000 0.500 (multiplicity 2)
Sn2 0.124 0.248 0.890 (multiplicity 8)
N1 0.000 0.500 0.250 (multiplicity 2)

---

Record 2
# SrAc2SnN

A geometry-optimized SrAc2SnN structure (PBE, Alexandria via LeMat-Bulk).

- D(E_F) (states/eV per atom) = 0.43
- formation energy from raw total energies (meV per atom) = -795
- crystal system = tetragonal

Lattice parameters (Å, degrees): 5.312 5.312 5.283 90.00 90.00 90.00
Space group P4/mmm (No. 123)
Inequivalent atoms, fractional coordinates:
Sr1 0.000 0.000 0.000 (multiplicity 1)
Ac1 0.000 0.500 0.500 (multiplicity 2)
Sn1 0.500 0.500 0.000 (multiplicity 1)
N1 0.000 0.000 0.500 (multiplicity 1)

---

Record 3
# Ac2Th4Sn3N2

A geometry-optimized Ac2Th4Sn3N2 structure (PBE, Alexandria via LeMat-Bulk).

- D(E_F) (states/eV per atom) = 0.64
- formation energy from raw total energies (meV per atom) = -898
- crystal system = tetragonal

Lattice parameters (Å, degrees): 4.893 4.893 26.962 90.00 90.00 90.00
Space group I4/mmm (No. 139)
Inequivalent atoms, fractional coordinates:
Ac1 0.000 0.000 0.197 (multiplicity 4)
Th1 0.000 0.500 0.081 (multiplicity 8)
Sn1 0.000 0.000 0.329 (multiplicity 4)
Sn2 0.000 0.000 0.500 (multiplicity 2)
N1 0.000 0.000 0.094 (multiplicity 4)

---

Record 4
# AcY2SnN4

A geometry-optimized AcY2SnN4 structure (PBE, Alexandria via LeMat-Bulk).

- D(E_F) (states/eV per atom) = 0.15
- formation energy from raw total energies (meV per atom) = -885
- crystal system = orthorhombic

Lattice parameters (Å, degrees): 3.676 12.063 12.087 90.00 90.00 90.00
Space group Cmcm (No. 63)
Inequivalent atoms, fractional coordinates:
Ac1 0.000 0.106 0.250 (multiplicity 4)
Y1 0.000 0.371 0.038 (multiplicity 8)
Sn1 0.000 0.157 0.750 (multiplicity 4)
N1 0.000 0.000 0.000 (multiplicity 4)
N2 0.000 0.269 0.619 (multiplicity 8)
N3 0.000 0.434 0.250 (multiplicity 4)

---

Record 5
# AcYSnN3

A geometry-optimized AcYSnN3 structure (PBE, Alexandria via LeMat-Bulk).

- D(E_F) (states/eV per atom) = 0.42
- formation energy from raw total energies (meV per atom) = -659
- crystal system = monoclinic

Lattice parameters (Å, degrees): 7.331 3.520 8.972 90.00 94.18 90.00
Space group P2_1/m (No. 11)
Inequivalent atoms, fractional coordinates:
Ac1 0.158 0.250 0.197 (multiplicity 2)
Y1 0.367 0.750 0.873 (multiplicity 2)
Sn1 0.170 0.250 0.590 (multiplicity 2)
N1 0.135 0.250 0.841 (multiplicity 2)
N2 0.138 0.750 0.440 (multiplicity 2)
N3 0.395 0.750 0.121 (multiplicity 2)

---

Record 6
# AcZn2SnN2

A geometry-optimized AcZn2SnN2 structure (PBE, Alexandria via LeMat-Bulk).

- D(E_F) (states/eV per atom) = 0.32
- formation energy from raw total energies (meV per atom) = -190
- crystal system = monoclinic

Lattice parameters (Å, degrees): 5.004 6.091 7.445 90.00 100.56 90.00
Space group P2_1/m (No. 11)
Inequivalent atoms, fractional coordinates:
Ac1 0.145 0.250 0.402 (multiplicity 2)
Zn1 0.412 0.750 0.866 (multiplicity 2)
Zn2 0.415 0.750 0.246 (multiplicity 2)
Sn1 0.110 0.250 0.886 (multiplicity 2)
N1 0.272 0.007 0.699 (multiplicity 4)

---

Record 7
# Ac2ZnSnN

A geometry-optimized Ac2ZnSnN structure (PBE, Alexandria via LeMat-Bulk).

- D(E_F) (states/eV per atom) = 0.52
- formation energy from raw total energies (meV per atom) = -727
- crystal system = monoclinic

Lattice parameters (Å, degrees): 7.107 4.315 9.092 90.00 109.03 90.00
Space group P2_1/m (No. 11)
Inequivalent atoms, fractional coordinates:
Ac1 0.203 0.250 0.378 (multiplicity 2)
Ac2 0.207 0.250 0.965 (multiplicity 2)
Zn1 0.457 0.750 0.246 (multiplicity 2)
Sn1 0.313 0.750 0.699 (multiplicity 2)
N1 0.159 0.750 0.166 (multiplicity 2)

---

Record 8
# SrAc3N

A geometry-optimized SrAc3N structure (PBE, Alexandria via LeMat-Bulk).

- D(E_F) (states/eV per atom) = 1.13
- formation energy from raw total energies (meV per atom) = -317
- crystal system = cubic

Lattice parameters (Å, degrees): 5.569 5.569 5.569 90.00 90.00 90.00
Space group Pm-3m (No. 221)
Inequivalent atoms, fractional coordinates:
Sr1 0.000 0.000 0.000 (multiplicity 1)
Ac1 0.000 0.500 0.500 (multiplicity 3)
N1 0.500 0.500 0.500 (multiplicity 1)

---

Record 9
# SrAcN

A geometry-optimized SrAcN structure (PBE, Alexandria via LeMat-Bulk).

- D(E_F) (states/eV per atom) = 0.49
- formation energy from raw total energies (meV per atom) = -620
- energy relative to the lowest polymorph listed for this composition (meV per atom) = 24
- crystal system = trigonal

Lattice parameters (Å, degrees): 3.9298 3.9298 6.8147 90.00 90.00 120.00
Space group P3m1 (No. 156)
Inequivalent atoms, fractional coordinates:
Sr1 0.0000 0.0000 0.0000 (multiplicity 1)
Ac1 0.6667 0.3333 0.4367 (multiplicity 1)
N1 0.3333 0.6667 0.2721 (multiplicity 1)

---

Record 10
# Sr2AcN

A geometry-optimized Sr2AcN structure (PBE, Alexandria via LeMat-Bulk).

- D(E_F) (states/eV per atom) = 0.94
- formation energy from raw total energies (meV per atom) = -285
- energy relative to the lowest polymorph listed for this composition (meV per atom) = 201
- crystal system = trigonal

Lattice parameters (Å, degrees): 3.8239 3.8239 32.5070 90.00 90.00 120.00
Space group R-3m (No. 166, hexagonal axes)
Inequivalent atoms, fractional coordinates:
Sr1 0.0000 0.0000 0.1241 (multiplicity 6)
Ac1 0.0000 0.0000 0.0000 (multiplicity 3)
N1 0.0000 0.0000 0.5000 (multiplicity 3)